This record from Alexandria via LeMat-Bulk describes crystalline KInSb2 at its relaxed geometry. The functional is GGA-PBE.

```
data_KInSb2
_space_group_name_H-M_alt 'P 1 2/m 1'
_space_group_IT_number 10
_space_group_name_Hall '-P 2y'
_cell_length_a 3.4521
_cell_length_b 5.2187
_cell_length_c 7.0634
_cell_angle_alpha 90.00
_cell_angle_beta 90.06
_cell_angle_gamma 90.00
loop_
_atom_site_label
_atom_site_fract_x
_atom_site_fract_y
_atom_site_fract_z
_atom_site_occupancy
K1 0.0000 0.0000 0.0000 1
In1 0.0000 0.0000 0.5000 1
Sb1 0.4998 0.5000 0.2966 1
```

Output
formation energy from raw total energies	-0.122	eV per atom
total DFT energy (no corrections)	-3.14	eV per atom

---

This record from Alexandria via LeMat-Bulk describes crystalline KInSb2 at its relaxed geometry. The functional is GGA-PBE.

```
data_KInSb2
_space_group_name_H-M_alt 'C m m m'
_space_group_IT_number 65
_space_group_name_Hall '-C 2 2'
_cell_length_a 6.8754
_cell_length_b 10.8335
_cell_length_c 3.2261
_cell_angle_alpha 90.00
_cell_angle_beta 90.00
_cell_angle_gamma 90.00
loop_
_atom_site_label
_atom_site_fract_x
_atom_site_fract_y
_atom_site_fract_z
_atom_site_occupancy
K1 0.0000 0.0000 0.0000 1
In1 0.0000 0.5000 0.0000 1
Sb1 0.2500 0.2500 0.5000 1
```

Output
formation energy from raw total energies	-0.088	eV per atom
total DFT energy (no corrections)	-3.11	eV per atom

---

This record from Alexandria via LeMat-Bulk describes crystalline K2In7Sb at its relaxed geometry. The functional is GGA-PBE.

```
data_K2In7Sb
_space_group_name_H-M_alt 'P -4 m 2'
_space_group_IT_number 115
_space_group_name_Hall 'P -4 -2'
_cell_length_a 5.0680
_cell_length_b 5.0680
_cell_length_c 12.4970
_cell_angle_alpha 90.00
_cell_angle_beta 90.00
_cell_angle_gamma 90.00
loop_
_atom_site_label
_atom_site_fract_x
_atom_site_fract_y
_atom_site_fract_z
_atom_site_occupancy
K1 0.0000 0.5000 0.2501 1
In1 0.0000 0.0000 0.0000 1
In2 0.0000 0.0000 0.5000 1
In3 0.0000 0.5000 0.6316 1
In4 0.0000 0.5000 0.8626 1
In5 0.5000 0.5000 0.5000 1
Sb1 0.5000 0.5000 0.0000 1
```

Output
formation energy from raw total energies	-0.132	eV per atom
total DFT energy (no corrections)	-2.68	eV per atom

---

This record from Alexandria via LeMat-Bulk describes crystalline KInSb2 at its relaxed geometry. The functional is GGA-PBE.

```
data_KInSb2
_space_group_name_H-M_alt 'I -4 m 2'
_space_group_IT_number 119
_space_group_name_Hall 'I -4 -2'
_cell_length_a 4.9380
_cell_length_b 4.9380
_cell_length_c 9.8091
_cell_angle_alpha 90.00
_cell_angle_beta 90.00
_cell_angle_gamma 90.00
loop_
_atom_site_label
_atom_site_fract_x
_atom_site_fract_y
_atom_site_fract_z
_atom_site_occupancy
K1 0.0000 0.0000 0.0000 1
In1 0.0000 0.5000 0.2500 1
Sb1 0.0000 0.0000 0.5000 1
Sb2 0.0000 0.5000 0.7500 1
```

Output
formation energy from raw total energies	-0.009	eV per atom
total DFT energy (no corrections)	-3.03	eV per atom

---

This record from Alexandria via LeMat-Bulk describes crystalline KInSb2 at its relaxed geometry. The functional is GGA-PBE.

```
data_KInSb2
_space_group_name_H-M_alt 'I m m 2'
_space_group_IT_number 44
_space_group_name_Hall 'I 2 -2'
_cell_length_a 4.2306
_cell_length_b 5.3793
_cell_length_c 12.5474
_cell_angle_alpha 90.00
_cell_angle_beta 90.00
_cell_angle_gamma 90.00
loop_
_atom_site_label
_atom_site_fract_x
_atom_site_fract_y
_atom_site_fract_z
_atom_site_occupancy
K1 0.0000 0.0000 0.0000 1
In1 0.0000 0.5000 0.2350 1
Sb1 0.0000 0.0000 0.4025 1
Sb2 0.0000 0.5000 0.7439 1
```

Output
formation energy from raw total energies	-0.140	eV per atom
total DFT energy (no corrections)	-3.16	eV per atom

---

This record from Alexandria via LeMat-Bulk describes crystalline KInSb2 at its relaxed geometry. The functional is GGA-PBE.

```
data_KInSb2
_space_group_name_H-M_alt 'C 1 2/m 1'
_space_group_IT_number 12
_space_group_name_Hall '-C 2y'
_cell_length_a 10.8290
_cell_length_b 4.1218
_cell_length_c 6.4188
_cell_angle_alpha 90.00
_cell_angle_beta 105.29
_cell_angle_gamma 90.00
loop_
_atom_site_label
_atom_site_fract_x
_atom_site_fract_y
_atom_site_fract_z
_atom_site_occupancy
K1 0.0000 0.0000 0.0000 1
In1 0.0000 0.5000 0.5000 1
Sb1 0.2370 0.0000 0.6614 1
```

Output
formation energy from raw total energies	-0.147	eV per atom
total DFT energy (no corrections)	-3.17	eV per atom

---

This record from Alexandria via LeMat-Bulk describes crystalline KInSb2 at its relaxed geometry. The functional is GGA-PBE.

```
data_KInSb2
_space_group_name_H-M_alt 'P 4 m m'
_space_group_IT_number 99
_space_group_name_Hall 'P 4 -2'
_cell_length_a 4.1764
_cell_length_b 4.1764
_cell_length_c 7.7330
_cell_angle_alpha 90.00
_cell_angle_beta 90.00
_cell_angle_gamma 90.00
loop_
_atom_site_label
_atom_site_fract_x
_atom_site_fract_y
_atom_site_fract_z
_atom_site_occupancy
K1 0.0000 0.0000 0.0000 1
In1 0.5000 0.5000 0.6987 1
Sb1 0.0000 0.0000 0.4675 1
Sb2 0.5000 0.5000 0.3203 1
```

Output
formation energy from raw total energies	-0.138	eV per atom
total DFT energy (no corrections)	-3.16	eV per atom

---

This record from Alexandria via LeMat-Bulk describes crystalline KInSb at its relaxed geometry. The functional is GGA-PBE.

```
data_KInSb
_space_group_name_H-M_alt 'P -1'
_space_group_IT_number 2
_space_group_name_Hall '-P 1'
_cell_length_a 4.6985
_cell_length_b 6.3365
_cell_length_c 8.2326
_cell_angle_alpha 99.66
_cell_angle_beta 90.23
_cell_angle_gamma 111.75
loop_
_atom_site_label
_atom_site_fract_x
_atom_site_fract_y
_atom_site_fract_z
_atom_site_occupancy
K1 0.1241 0.2430 0.3199 1
In1 0.3840 0.7668 0.0459 1
Sb1 0.1751 0.3540 0.7702 1
```

Output
formation energy from raw total energies	-0.364	eV per atom
total DFT energy (no corrections)	-3.02	eV per atom

---

Look up the formation energy from raw total energies of the fourth one.
-0.009 eV per atom

---

Which value of formation energy from raw total energies does entry 4 give?
-0.009 eV per atom

---

The lowest total DFT energy (no corrections) belongs to which entry?
number 6